Crystalline KCuN at its relaxed geometry. Source: Alexandria via LeMat-Bulk, functional PBE-GGA.

```
KCuN
1.0
4.309 -1.744 0.000
4.309 1.744 0.000
-0.008 0.000 8.651
K Cu N
2 2 2
direct
0.003 0.997 0.500 K
0.997 0.003 0.000 K
0.266 0.279 0.749 Cu
0.279 0.266 0.249 Cu
0.763 0.776 0.750 N
0.776 0.763 0.250 N
```

Output
Crystal system: monoclinic
Total magnetic moment, μB per formula unit: 0.0
Formation energy without anion corrections, eV per atom: 0.26


Crystalline AcPm2Pr2 at its relaxed geometry. Source: Alexandria via LeMat-Bulk, functional PBE-GGA.

```
AcPm2Pr2
1.0
2.869 -8.783 0.000
2.869 8.783 0.000
0.000 0.000 7.341
Ac Pm Pr
2 4 4
direct
0.104 0.896 0.500 Ac
0.896 0.104 0.000 Ac
0.301 0.699 0.249 Pm
0.500 0.500 0.250 Pm
0.500 0.500 0.750 Pm
0.699 0.301 0.749 Pm
0.111 0.889 0.998 Pr
0.301 0.699 0.748 Pr
0.699 0.301 0.248 Pr
0.889 0.111 0.498 Pr
```

Output
Crystal system: orthorhombic
DFT formation energy, kJ per mole of atoms: 4
Total magnetic moment, μB per formula unit: 0.0


Crystalline Ca2Cd12Ag3Hg at its relaxed geometry. Source: Alexandria via LeMat-Bulk, functional PBE-GGA.

```
Ca2Cd12Ag3Hg
1.0
5.084 2.935 4.809
-5.084 2.935 4.809
0.000 -5.870 4.809
Ca Cd Ag Hg
2 12 3 1
direct
0.245 0.245 0.245 Ca
0.755 0.755 0.755 Ca
0.082 0.082 0.643 Cd
0.082 0.643 0.082 Cd
0.200 0.697 0.697 Cd
0.303 0.303 0.800 Cd
0.303 0.800 0.303 Cd
0.357 0.918 0.918 Cd
0.643 0.082 0.082 Cd
0.697 0.200 0.697 Cd
0.697 0.697 0.200 Cd
0.800 0.303 0.303 Cd
0.918 0.357 0.918 Cd
0.918 0.918 0.357 Cd
0.000 0.500 0.500 Ag
0.500 0.000 0.500 Ag
0.500 0.500 0.000 Ag
0.500 0.500 0.500 Hg
```

Output
Crystal system: trigonal
DFT formation energy, kJ per mole of atoms: -4
Total magnetic moment, μB per formula unit: 0.0


Which formula does entry 1 have? KCuN